Er2SbTe2 after structural relaxation, computed with PBE.

Properties
Formation energy (no corrections)   -1.051 eV per atom

a = 4.3327 Å, b = 4.3327 Å, c = 31.5427 Å
α = 90.00°, β = 90.00°, γ = 120.00°
Space group R-3m (No. 166, hexagonal axes)
Unique sites:
Er (0.0000, 0.0000, 0.1070) (multiplicity 6)
Sb (0.0000, 0.0000, 0.5000) (multiplicity 3)
Te (0.0000, 0.0000, 0.2783) (multiplicity 6)

AcSmPu2S4 after structural relaxation, computed with PBE.

Properties
Formation energy (no corrections)   -1.865 eV per atom

a = 7.000 Å, b = 4.055 Å, c = 7.114 Å
α = 90.00°, β = 109.44°, γ = 90.00°
Space group P2/m (No. 10)
Unique sites:
Ac (0.000, 0.000, 0.000) (multiplicity 1)
Sm (0.000, 0.500, 0.500) (multiplicity 1)
Pu (0.500, 0.000, 0.500) (multiplicity 1)
Pu (0.500, 0.500, 0.000) (multiplicity 1)
S (0.261, 0.000, 0.745) (multiplicity 2)
S (0.267, 0.500, 0.267) (multiplicity 2)

LaNpVN4 after structural relaxation, computed with PBE.

Properties
Formation energy (no corrections)   -1.088 eV per atom

a = 5.357 Å, b = 12.690 Å, c = 5.423 Å
α = 90.00°, β = 90.00°, γ = 90.00°
Space group Cmcm (No. 63)
Unique sites:
La (0.000, 0.108, 0.250) (multiplicity 4)
Np (0.000, 0.392, 0.250) (multiplicity 4)
V (0.000, 0.229, 0.750) (multiplicity 4)
N (0.000, 0.086, 0.750) (multiplicity 4)
N (0.000, 0.446, 0.750) (multiplicity 4)
N (0.250, 0.250, 0.000) (multiplicity 8)

SiPCl after structural relaxation, computed with PBE.

Properties
Formation energy (no corrections)   0.517 eV per atom
Energy relative to the lowest polymorph listed for this composition   312 kJ/mol of formula units

a = 6.157 Å, b = 6.157 Å, c = 6.157 Å
α = 90.00°, β = 90.00°, γ = 90.00°
Space group F-43m (No. 216)
Unique sites:
Si (0.000, 0.000, 0.000) (multiplicity 4)
P (0.250, 0.250, 0.250) (multiplicity 4)
Cl (0.000, 0.000, 0.500) (multiplicity 4)

MgIrSe2 after structural relaxation, computed with PBE.

Properties
Formation energy (no corrections)   0.031 eV per atom

a = 3.699 Å, b = 7.132 Å, c = 6.989 Å
α = 90.00°, β = 90.00°, γ = 90.00°
Space group Cmmm (No. 65)
Unique sites:
Mg (0.000, 0.000, 0.000) (multiplicity 2)
Ir (0.000, 0.000, 0.500) (multiplicity 2)
Se (0.000, 0.500, 0.271) (multiplicity 4)

SrAlW after structural relaxation, computed with PBE.

Properties
Energy relative to the lowest polymorph listed for this composition   0 kJ/mol of formula units
DFT formation energy   583 meV per atom

a = 3.018 Å, b = 4.010 Å, c = 11.403 Å
α = 90.00°, β = 90.00°, γ = 90.00°
Space group Imm2 (No. 44)
Unique sites:
Sr (0.000, 0.000, 0.000) (multiplicity 2)
Al (0.000, 0.000, 0.284) (multiplicity 2)
W (0.000, 0.000, 0.705) (multiplicity 2)

BaAcIO6 after structural relaxation, computed with PBE.

Properties
Formation energy (no corrections)   -1.798 eV per atom

a = 6.0223 Å, b = 6.0223 Å, c = 5.4375 Å
α = 90.00°, β = 90.00°, γ = 120.00°
Space group P312 (No. 149)
Unique sites:
Ba (0.0000, 0.0000, 0.0000) (multiplicity 1)
Ac (0.3333, 0.6667, 0.5000) (multiplicity 1)
I (0.6667, 0.3333, 0.5000) (multiplicity 1)
O (0.4056, 0.0700, 0.7003) (multiplicity 6)

TcSeS2Br after structural relaxation, computed with PBE.

Properties
Formation energy (no corrections)   1.476 eV per atom

a = 4.790 Å, b = 4.790 Å, c = 5.264 Å
α = 90.00°, β = 90.00°, γ = 90.00°
Space group P4/mmm (No. 123)
Unique sites:
Tc (0.000, 0.000, 0.000) (multiplicity 1)
Se (0.500, 0.500, 0.000) (multiplicity 1)
S (0.000, 0.500, 0.500) (multiplicity 2)
Br (0.500, 0.500, 0.500) (multiplicity 1)

Th2Ni15Rh2 after structural relaxation, computed with PBE.

Properties
DFT formation energy   -256 meV per atom

a = 8.4330 Å, b = 8.4330 Å, c = 12.2642 Å
α = 90.00°, β = 90.00°, γ = 120.00°
Space group R-3m (No. 166, hexagonal axes)
Unique sites:
Th (0.0000, 0.0000, 0.1603) (multiplicity 6)
Ni (0.0000, 0.2945, 0.5000) (multiplicity 18)
Ni (0.0000, 0.5000, 0.0000) (multiplicity 9)
Ni (0.0039, 0.5019, 0.6550) (multiplicity 18)
Rh (0.0000, 0.0000, 0.3945) (multiplicity 6)

Ba3RhI after structural relaxation, computed with PBE.

Properties
Formation energy (no corrections)   -0.588 eV per atom
Energy relative to the lowest polymorph listed for this composition   0 kJ/mol of formula units

a = 4.753 Å, b = 7.852 Å, c = 11.243 Å
α = 90.00°, β = 90.00°, γ = 90.00°
Space group Pmmn (No. 59, origin choice 2)
Unique sites:
Ba (0.250, 0.006, 0.139) (multiplicity 4)
Ba (0.250, 0.250, 0.610) (multiplicity 2)
Rh (0.250, 0.250, 0.896) (multiplicity 2)
I (0.250, 0.750, 0.641) (multiplicity 2)

Mn3BeIr after structural relaxation, computed with PBE.

Properties
Energy relative to the lowest polymorph listed for this composition   365 kJ/mol of formula units
DFT formation energy   1324 meV per atom

a = 4.790 Å, b = 4.790 Å, c = 4.790 Å
α = 90.00°, β = 90.00°, γ = 90.00°
Space group Pm-3m (No. 221)
Unique sites:
Mn (0.000, 0.000, 0.500) (multiplicity 3)
Be (0.500, 0.500, 0.500) (multiplicity 1)
Ir (0.000, 0.000, 0.000) (multiplicity 1)

Mn2CdPb after structural relaxation, computed with PBE.

Properties
DFT formation energy   422 meV per atom

a = 4.079 Å, b = 4.079 Å, c = 9.270 Å
α = 90.00°, β = 90.00°, γ = 90.00°
Space group I-4m2 (No. 119)
Unique sites:
Mn (0.000, 0.000, 0.000) (multiplicity 2)
Mn (0.000, 0.500, 0.250) (multiplicity 2)
Cd (0.000, 0.000, 0.500) (multiplicity 2)
Pb (0.000, 0.500, 0.750) (multiplicity 2)

Number 1: spin magnetization 0.0000 μB/atom, electronic total energy -0.1822 Ha/atom. Number 2: spin magnetization 0.0085 μB/atom, electronic total energy -0.3166 Ha/atom. Number 3: spin magnetization 0.4118 μB/atom, electronic total energy -0.3565 Ha/atom. Number 4: spin magnetization 0.0000 μB/atom, electronic total energy -0.1363 Ha/atom. Number 5: spin magnetization 0.0001 μB/atom, electronic total energy -0.1590 Ha/atom. Number 6: spin magnetization 0.0001 μB/atom, electronic total energy -0.2037 Ha/atom. Number 7: spin magnetization 0.0000 μB/atom, electronic total energy -0.2185 Ha/atom. Number 8: spin magnetization 0.9025 μB/atom, electronic total energy -0.1205 Ha/atom. Number 9: spin magnetization 0.3338 μB/atom, electronic total energy -0.2343 Ha/atom. Number 10: spin magnetization 0.1805 μB/atom, electronic total energy -0.1294 Ha/atom. Number 11: spin magnetization 2.5509 μB/atom, electronic total energy -0.2461 Ha/atom. Number 12: spin magnetization 1.7621 μB/atom, electronic total energy -0.1955 Ha/atom.